# PBE Li3PAu, relaxed
# Electronic total energy (eV per atom): -3.411
# Crystal system: monoclinic
# Volume (Å³/atom): 15.77
# Energy above the most stable polymorph in this dataset (eV per atom): 0.000
data_Li3PAu
_chemical_formula_sum 'Li12 P4 Au4'
_space_group_name_H-M_alt 'P 1 21/c 1'
_space_group_IT_number 14
_space_group_name_Hall '-P 2ybc'
_cell_length_a 5.055
_cell_length_b 7.272
_cell_length_c 8.597
_cell_angle_alpha 90.00
_cell_angle_beta 93.75
_cell_angle_gamma 90.00
loop_
_atom_site_label
_atom_site_type_symbol
_atom_site_fract_x
_atom_site_fract_y
_atom_site_fract_z
Li1 Li 0.163 0.074 0.393
Li2 Li 0.205 0.610 0.619
Li3 Li 0.260 0.053 0.816
P1 P 0.001 0.738 0.364
Au1 Au 0.491 0.245 0.102

# PBE LiPAu4, relaxed
# Electronic total energy (eV per atom): -3.267
# Crystal system: cubic
# Volume (Å³/atom): 19.61
data_LiPAu4
_chemical_formula_sum 'Li4 P4 Au16'
_space_group_name_H-M_alt 'F -4 3 m'
_space_group_IT_number 216
_space_group_name_Hall 'F -4 2 3'
_cell_length_a 7.778
_cell_length_b 7.778
_cell_length_c 7.778
_cell_angle_alpha 90.00
_cell_angle_beta 90.00
_cell_angle_gamma 90.00
loop_
_atom_site_label
_atom_site_type_symbol
_atom_site_fract_x
_atom_site_fract_y
_atom_site_fract_z
Li1 Li 0.000 0.000 0.000
P1 P 0.250 0.250 0.250
Au1 Au 0.125 0.125 0.625

# PBE Li5PAu6, relaxed
# Electronic total energy (eV per atom): -3.310
# Crystal system: monoclinic
# Volume (Å³/atom): 15.39
data_Li5PAu6
_chemical_formula_sum 'Li10 P2 Au12'
_space_group_name_H-M_alt 'C 1 2/m 1'
_space_group_IT_number 12
_space_group_name_Hall '-C 2y'
_cell_length_a 13.569
_cell_length_b 6.348
_cell_length_c 4.413
_cell_angle_alpha 90.00
_cell_angle_beta 103.73
_cell_angle_gamma 90.00
loop_
_atom_site_label
_atom_site_type_symbol
_atom_site_fract_x
_atom_site_fract_y
_atom_site_fract_z
Li1 Li 0.000 0.000 0.000
Li2 Li 0.163 0.500 0.674
Li3 Li 0.169 0.000 0.669
P1 P 0.000 0.500 0.000
Au1 Au 0.000 0.240 0.500
Au2 Au 0.169 0.245 0.173

# PBE LiPAu2, relaxed
# Electronic total energy (eV per atom): -3.431
# Crystal system: trigonal
# Volume (Å³/atom): 16.62
data_LiPAu2
_chemical_formula_sum 'Li3 P3 Au6'
_space_group_name_H-M_alt 'R -3 m'
_space_group_IT_number 166
_space_group_name_Hall '-R 3 2"'
_cell_length_a 2.9811
_cell_length_b 2.9811
_cell_length_c 25.9139
_cell_angle_alpha 90.00
_cell_angle_beta 90.00
_cell_angle_gamma 120.00
loop_
_atom_site_label
_atom_site_type_symbol
_atom_site_fract_x
_atom_site_fract_y
_atom_site_fract_z
Li1 Li 0.0000 0.0000 0.0000
P1 P 0.0000 0.0000 0.5000
Au1 Au 0.0000 0.0000 0.2497

# PBE LiPAu2, relaxed
# Electronic total energy (eV per atom): -3.614
# Crystal system: tetragonal
# Volume (Å³/atom): 16.03
data_LiPAu2
_chemical_formula_sum 'Li2 P2 Au4'
_space_group_name_H-M_alt 'I 4/m m m'
_space_group_IT_number 139
_space_group_name_Hall '-I 4 2'
_cell_length_a 4.122
_cell_length_b 4.122
_cell_length_c 7.547
_cell_angle_alpha 90.00
_cell_angle_beta 90.00
_cell_angle_gamma 90.00
loop_
_atom_site_label
_atom_site_type_symbol
_atom_site_fract_x
_atom_site_fract_y
_atom_site_fract_z
Li1 Li 0.000 0.000 0.000
P1 P 0.000 0.000 0.500
Au1 Au 0.000 0.500 0.250

# PBE Li2PAu, relaxed
# Electronic total energy (eV per atom): -3.681
# Crystal system: triclinic
# Volume (Å³/atom): 17.32
data_Li2PAu
_chemical_formula_sum 'Li4 P2 Au2'
_space_group_name_H-M_alt 'P -1'
_space_group_IT_number 2
_space_group_name_Hall '-P 1'
_cell_length_a 4.660
_cell_length_b 4.848
_cell_length_c 6.233
_cell_angle_alpha 85.87
_cell_angle_beta 83.60
_cell_angle_gamma 82.63
loop_
_atom_site_label
_atom_site_type_symbol
_atom_site_fract_x
_atom_site_fract_y
_atom_site_fract_z
Li1 Li 0.019 0.316 0.344
Li2 Li 0.253 0.069 0.897
P1 P 0.221 0.796 0.262
Au1 Au 0.500 0.000 0.500
Au2 Au 0.500 0.500 0.000

# PBE LiPAu2, relaxed
# Electronic total energy (eV per atom): -3.569
# Crystal system: monoclinic
# Volume (Å³/atom): 16.66
data_LiPAu2
_chemical_formula_sum 'Li2 P2 Au4'
_space_group_name_H-M_alt 'C 1 2/m 1'
_space_group_IT_number 12
_space_group_name_Hall '-C 2y'
_cell_length_a 5.666
_cell_length_b 9.177
_cell_length_c 2.807
_cell_angle_alpha 90.00
_cell_angle_beta 114.06
_cell_angle_gamma 90.00
loop_
_atom_site_label
_atom_site_type_symbol
_atom_site_fract_x
_atom_site_fract_y
_atom_site_fract_z
Li1 Li 0.000 0.000 0.000
P1 P 0.000 0.500 0.000
Au1 Au 0.250 0.250 0.000

# PBE LiPAu2, relaxed
# Electronic total energy (eV per atom): -3.659
# Crystal system: monoclinic
# Volume (Å³/atom): 16.39
data_LiPAu2
_chemical_formula_sum 'Li1 P1 Au2'
_space_group_name_H-M_alt 'P 1 m 1'
_space_group_IT_number 6
_space_group_name_Hall 'P -2y'
_cell_length_a 2.967
_cell_length_b 4.134
_cell_length_c 5.543
_cell_angle_alpha 90.00
_cell_angle_beta 105.31
_cell_angle_gamma 90.00
loop_
_atom_site_label
_atom_site_type_symbol
_atom_site_fract_x
_atom_site_fract_y
_atom_site_fract_z
Li1 Li 0.000 0.000 0.000
P1 P 0.598 0.500 0.202
Au1 Au 0.372 0.500 0.742
Au2 Au 0.730 0.000 0.456

# PBE Li2PAu, relaxed
# Electronic total energy (eV per atom): -3.238
# Crystal system: tetragonal
# Volume (Å³/atom): 16.60
data_Li2PAu
_chemical_formula_sum 'Li2 P1 Au1'
_space_group_name_H-M_alt 'P 4 m m'
_space_group_IT_number 99
_space_group_name_Hall 'P 4 -2'
_cell_length_a 2.757
_cell_length_b 2.757
_cell_length_c 8.734
_cell_angle_alpha 90.00
_cell_angle_beta 90.00
_cell_angle_gamma 90.00
loop_
_atom_site_label
_atom_site_type_symbol
_atom_site_fract_x
_atom_site_fract_y
_atom_site_fract_z
Li1 Li 0.000 0.000 0.000
Li2 Li 0.500 0.500 0.301
P1 P 0.000 0.000 0.492
Au1 Au 0.500 0.500 0.792

# PBE Li2PAu, relaxed
# Electronic total energy (eV per atom): -3.461
# Crystal system: monoclinic
# Volume (Å³/atom): 15.13
data_Li2PAu
_chemical_formula_sum 'Li4 P2 Au2'
_space_group_name_H-M_alt 'C 1 2/m 1'
_space_group_IT_number 12
_space_group_name_Hall '-C 2y'
_cell_length_a 8.122
_cell_length_b 2.806
_cell_length_c 5.374
_cell_angle_alpha 90.00
_cell_angle_beta 98.98
_cell_angle_gamma 90.00
loop_
_atom_site_label
_atom_site_type_symbol
_atom_site_fract_x
_atom_site_fract_y
_atom_site_fract_z
Li1 Li 0.242 0.000 0.214
P1 P 0.000 0.500 0.000
Au1 Au 0.000 0.000 0.500

# PBE Li4PAu, relaxed
# Electronic total energy (eV per atom): -2.837
# Crystal system: cubic
# Volume (Å³/atom): 14.37
# Energy above the most stable polymorph in this dataset (eV per atom): 0.349
data_Li4PAu
_chemical_formula_sum 'Li16 P4 Au4'
_space_group_name_H-M_alt 'F -4 3 m'
_space_group_IT_number 216
_space_group_name_Hall 'F -4 2 3'
_cell_length_a 7.013
_cell_length_b 7.013
_cell_length_c 7.013
_cell_angle_alpha 90.00
_cell_angle_beta 90.00
_cell_angle_gamma 90.00
loop_
_atom_site_label
_atom_site_type_symbol
_atom_site_fract_x
_atom_site_fract_y
_atom_site_fract_z
Li1 Li 0.125 0.125 0.125
P1 P 0.250 0.250 0.750
Au1 Au 0.000 0.000 0.500

# PBE LiPAu2, relaxed
# Electronic total energy (eV per atom): -3.594
# Crystal system: tetragonal
# Volume (Å³/atom): 16.10
data_LiPAu2
_chemical_formula_sum 'Li2 P2 Au4'
_space_group_name_H-M_alt 'I -4 m 2'
_space_group_IT_number 119
_space_group_name_Hall 'I -4 -2'
_cell_length_a 3.911
_cell_length_b 3.911
_cell_length_c 8.421
_cell_angle_alpha 90.00
_cell_angle_beta 90.00
_cell_angle_gamma 90.00
loop_
_atom_site_label
_atom_site_type_symbol
_atom_site_fract_x
_atom_site_fract_y
_atom_site_fract_z
Li1 Li 0.000 0.000 0.000
P1 P 0.000 0.500 0.750
Au1 Au 0.000 0.000 0.500
Au2 Au 0.000 0.500 0.250

# PBE Li2PAu, relaxed
# Electronic total energy (eV per atom): -3.599
# Crystal system: tetragonal
# Volume (Å³/atom): 14.45
data_Li2PAu
_chemical_formula_sum 'Li4 P2 Au2'
_space_group_name_H-M_alt 'I 4/m m m'
_space_group_IT_number 139
_space_group_name_Hall '-I 4 2'
_cell_length_a 3.918
_cell_length_b 3.918
_cell_length_c 7.533
_cell_angle_alpha 90.00
_cell_angle_beta 90.00
_cell_angle_gamma 90.00
loop_
_atom_site_label
_atom_site_type_symbol
_atom_site_fract_x
_atom_site_fract_y
_atom_site_fract_z
Li1 Li 0.000 0.500 0.250
P1 P 0.000 0.000 0.000
Au1 Au 0.000 0.000 0.500

# PBE Li2PAu, relaxed
# Electronic total energy (eV per atom): -3.686
# Crystal system: triclinic
# Volume (Å³/atom): 17.91
data_Li2PAu
_chemical_formula_sum 'Li4 P2 Au2'
_space_group_name_H-M_alt 'P -1'
_space_group_IT_number 2
_space_group_name_Hall '-P 1'
_cell_length_a 4.878
_cell_length_b 4.896
_cell_length_c 6.643
_cell_angle_alpha 91.67
_cell_angle_beta 91.92
_cell_angle_gamma 115.24
loop_
_atom_site_label
_atom_site_type_symbol
_atom_site_fract_x
_atom_site_fract_y
_atom_site_fract_z
Li1 Li 0.133 0.337 0.106
Li2 Li 0.336 0.130 0.605
P1 P 0.135 0.862 0.249
Au1 Au 0.000 0.500 0.500
Au2 Au 0.500 0.000 0.000

# PBE Li6PAu5, relaxed
# Electronic total energy (eV per atom): -3.289
# Crystal system: orthorhombic
# Volume (Å³/atom): 14.99
data_Li6PAu5
_chemical_formula_sum 'Li12 P2 Au10'
_space_group_name_H-M_alt 'C m m m'
_space_group_IT_number 65
_space_group_name_Hall '-C 2 2'
_cell_length_a 4.080
_cell_length_b 12.350
_cell_length_c 7.142
_cell_angle_alpha 90.00
_cell_angle_beta 90.00
_cell_angle_gamma 90.00
loop_
_atom_site_label
_atom_site_type_symbol
_atom_site_fract_x
_atom_site_fract_y
_atom_site_fract_z
Li1 Li 0.000 0.000 0.238
Li2 Li 0.000 0.340 0.242
P1 P 0.000 0.500 0.000
Au1 Au 0.000 0.167 0.000
Au2 Au 0.000 0.168 0.500
Au3 Au 0.000 0.500 0.500

# PBE Li2PAu, relaxed
# Electronic total energy (eV per atom): -3.579
# Crystal system: orthorhombic
# Volume (Å³/atom): 14.57
data_Li2PAu
_chemical_formula_sum 'Li4 P2 Au2'
_space_group_name_H-M_alt 'C m m m'
_space_group_IT_number 65
_space_group_name_Hall '-C 2 2'
_cell_length_a 5.367
_cell_length_b 7.337
_cell_length_c 2.959
_cell_angle_alpha 90.00
_cell_angle_beta 90.00
_cell_angle_gamma 90.00
loop_
_atom_site_label
_atom_site_type_symbol
_atom_site_fract_x
_atom_site_fract_y
_atom_site_fract_z
Li1 Li 0.250 0.250 0.000
P1 P 0.000 0.000 0.500
Au1 Au 0.000 0.500 0.500

# PBE LiPAu2, relaxed
# Electronic total energy (eV per atom): -3.546
# Crystal system: tetragonal
# Volume (Å³/atom): 16.03
data_LiPAu2
_chemical_formula_sum 'Li1 P1 Au2'
_space_group_name_H-M_alt 'P 4/m m m'
_space_group_IT_number 123
_space_group_name_Hall '-P 4 2'
_cell_length_a 3.334
_cell_length_b 3.334
_cell_length_c 5.766
_cell_angle_alpha 90.00
_cell_angle_beta 90.00
_cell_angle_gamma 90.00
loop_
_atom_site_label
_atom_site_type_symbol
_atom_site_fract_x
_atom_site_fract_y
_atom_site_fract_z
Li1 Li 0.000 0.000 0.000
P1 P 0.000 0.000 0.500
Au1 Au 0.500 0.500 0.246

# PBE Li8PAu2, relaxed
# Electronic total energy (eV per atom): -2.965
# Crystal system: tetragonal
# Volume (Å³/atom): 15.89
data_Li8PAu2
_chemical_formula_sum 'Li16 P2 Au4'
_space_group_name_H-M_alt 'I 4/m m m'
_space_group_IT_number 139
_space_group_name_Hall '-I 4 2'
_cell_length_a 4.282
_cell_length_b 4.282
_cell_length_c 19.068
_cell_angle_alpha 90.00
_cell_angle_beta 90.00
_cell_angle_gamma 90.00
loop_
_atom_site_label
_atom_site_type_symbol
_atom_site_fract_x
_atom_site_fract_y
_atom_site_fract_z
Li1 Li 0.000 0.000 0.150
Li2 Li 0.000 0.500 0.067
Li3 Li 0.000 0.500 0.250
P1 P 0.000 0.000 0.000
Au1 Au 0.000 0.000 0.334

# PBE LiPrPAu, relaxed
# Electronic total energy (eV per atom): -4.602
# Crystal system: cubic
# Volume (Å³/atom): 21.45
data_LiPrPAu
_chemical_formula_sum 'Li4 Pr4 P4 Au4'
_space_group_name_H-M_alt 'F -4 3 m'
_space_group_IT_number 216
_space_group_name_Hall 'F -4 2 3'
_cell_length_a 7.001
_cell_length_b 7.001
_cell_length_c 7.001
_cell_angle_alpha 90.00
_cell_angle_beta 90.00
_cell_angle_gamma 90.00
loop_
_atom_site_label
_atom_site_type_symbol
_atom_site_fract_x
_atom_site_fract_y
_atom_site_fract_z
Li1 Li 0.000 0.000 0.000
Pr1 Pr 0.000 0.000 0.500
P1 P 0.250 0.250 0.250
Au1 Au 0.250 0.250 0.750

# PBE RbLiPAu, relaxed
# Electronic total energy (eV per atom): -3.126
# Crystal system: orthorhombic
# Volume (Å³/atom): 28.41
data_RbLiPAu
_chemical_formula_sum 'Rb2 Li2 P2 Au2'
_space_group_name_H-M_alt 'I m m 2'
_space_group_IT_number 44
_space_group_name_Hall 'I 2 -2'
_cell_length_a 4.448
_cell_length_b 6.188
_cell_length_c 8.258
_cell_angle_alpha 90.00
_cell_angle_beta 90.00
_cell_angle_gamma 90.00
loop_
_atom_site_label
_atom_site_type_symbol
_atom_site_fract_x
_atom_site_fract_y
_atom_site_fract_z
Rb1 Rb 0.000 0.000 0.000
Li1 Li 0.000 0.500 0.147
P1 P 0.000 0.000 0.429
Au1 Au 0.000 0.500 0.835